{
  "formula": "RuPtRh",
  "functional": "SCAN",
  "state": "PBEsol geometry",
  "polymorph_energy_mev_per_atom": 291,
  "crystal_system": "hexagonal",
  "dft_energy_ev_per_atom": -46.023,
  "total_magnetization_mub_per_atom": 0.0017,
  "ef_mev_per_atom": 240,
  "cell": [[4.333, 0.000, 0.000], [-2.167, 3.753, 0.000], [0.000, 0.000, 2.623]],
  "species": ["Ru", "Pt", "Rh"],
  "frac_coords": [[0.000, 0.000, 0.000], [0.667, 0.333, 0.500], [0.333, 0.667, 0.500]]
}



{
  "formula": "RuPtRh",
  "functional": "SCAN",
  "state": "PBEsol geometry",
  "polymorph_energy_mev_per_atom": 51,
  "crystal_system": "trigonal",
  "dft_energy_ev_per_atom": -46.263,
  "total_magnetization_mub_per_atom": 0.0004,
  "ef_mev_per_atom": 1,
  "cell": [[2.696, 0.000, 0.000], [-1.348, 2.335, 0.000], [0.000, 0.000, 6.630]],
  "species": ["Ru", "Pt", "Rh"],
  "frac_coords": [[0.000, 0.000, 0.000], [0.667, 0.333, 0.662], [0.333, 0.667, 0.315]]
}



{
  "formula": "Ru2PtRh",
  "functional": "SCAN",
  "state": "PBEsol geometry",
  "polymorph_energy_mev_per_atom": 22,
  "crystal_system": "tetragonal",
  "dft_energy_ev_per_atom": -43.394,
  "total_magnetization_mub_per_atom": 0.0000,
  "ef_mev_per_atom": 11,
  "cell": [[3.796, 0.000, 0.000], [0.000, 3.796, 0.000], [0.000, 0.000, 7.611]],
  "species": ["Ru", "Ru", "Ru", "Ru", "Pt", "Pt", "Rh", "Rh"],
  "frac_coords": [[0.000, 0.000, 0.000], [0.000, 0.500, 0.250], [0.500, 0.000, 0.750], [0.500, 0.500, 0.500], [0.000, 0.500, 0.750], [0.500, 0.000, 0.250], [0.000, 0.000, 0.500], [0.500, 0.500, 0.000]]
}